No. 1
A relaxed structure of Hg2Te3H4, computed with PBE-GGA.

Lattice parameters (Å, degrees): 21.0300 5.0422 8.4521 90.00 94.40 90.00
Closest atoms and distances in Å follow each position.
Space group C2/c (No. 15)
Asymmetric unit:
1 Hg 0.1068 0.2105 0.0664 [8 per cell]  2 H 2.31-2.34
2 Te 0.0000 0.3636 0.7500 [4 per cell]  2 H 1.73
3 Te 0.2043 0.2058 0.3601 [8 per cell]  1 H 1.72
4 H 0.0453 0.1173 0.6710 [8 per cell]  1 Te 1.73
5 H 0.1584 0.4484 0.4386 [8 per cell]  1 Te 1.72

Final energy: -2.42 eV/atom
Mass density: 5.9 Mg/m³
Magnetization: 0.00 Bohr magnetons per cell



No. 2
A relaxed structure of Pm2Pr8Tm, computed with PBE-GGA.

Lattice parameters (Å, degrees): 16.8977 6.9302 6.8526 90.00 101.40 90.00
Closest atoms and distances in Å follow each position.
Space group C2/m (No. 12)
Asymmetric unit:
1 Pm 0.1921 0.0000 0.3065 [4 per cell]  7 Pr 3.44-3.78, 1 Tm 3.74
2 Pr 0.0849 0.2629 0.9019 [8 per cell]  5 Pr 3.29-3.64, 1 Tm 3.38, 1 Pm 3.51
3 Pr 0.0942 0.5000 0.4189 [4 per cell]  6 Pr 3.46-3.75, 1 Pm 3.73
4 Pr 0.2431 0.0000 0.8180 [4 per cell]  5 Pr 3.38-3.55, 4 Pm 3.44-3.78
5 Tm 0.0000 0.0000 0.5000 [2 per cell]  4 Pr 3.38, 2 Pm 3.74

Energy relative to the elements: 153 meV per atom
Mass density: 6.7 Mg/m³
Excess energy over the best structure of this formula in the dataset: 0.49 eV/f.u.
Magnetization: 0.00 Bohr magnetons per cell



No. 3
A relaxed structure of CrSiSb2S, computed with PBE-GGA.

Lattice parameters (Å, degrees): 5.3161 5.3161 4.4294 90.00 90.00 90.00
Closest atoms and distances in Å follow each position.
Space group P4/mmm (No. 123)
Asymmetric unit:
1 Cr 0.0000 0.0000 0.0000 [1 per cell]  2 S 2.21
2 Si 0.5000 0.5000 0.0000 [1 per cell]  8 Sb 3.46, 4 Cr 3.76
3 Sb 0.0000 0.5000 0.5000 [2 per cell]  2 S 2.66
4 S 0.0000 0.0000 0.5000 [1 per cell]  2 Cr 2.21

Final energy: -4.79 eV/atom
Mass density: 4.7 Mg/m³
Magnetization: 3.92 Bohr magnetons per cell



No. 4
A relaxed structure of DyYAlTl, computed with PBE-GGA.

Lattice parameters (Å, degrees): 3.6325 3.6325 7.7427 90.00 90.00 90.00
Closest atoms and distances in Å follow each position.
Space group P4mm (No. 99)
Asymmetric unit:
1 Dy 0.0000 0.0000 0.0000 [1 per cell]  4 Al 3.15, 4 Tl 3.28
2 Y 0.0000 0.0000 0.5290 [1 per cell]  4 Al 3.15, 4 Tl 3.29
3 Al 0.5000 0.5000 0.7650 [1 per cell]  4 Dy 3.15, 4 Y 3.15
4 Tl 0.5000 0.5000 0.2638 [1 per cell]  4 Dy 3.28, 4 Y 3.29, 4 Tl 3.63

Energy relative to the elements: -374 meV per atom
Mass density: 7.8 Mg/m³
Excess energy over the best structure of this formula in the dataset: 0.00 eV/f.u.
Magnetization: 0.00 Bohr magnetons per cell



No. 5
A relaxed structure of Cs3Sn2Cl9, computed with PBE-GGA.

Lattice parameters (Å, degrees): 7.6548 7.6548 9.4445 90.00 90.00 120.00
Closest atoms and distances in Å follow each position.
Space group P-3m1 (No. 164)
Asymmetric unit:
1 Cs 0.0000 0.0000 0.0000 [1 per cell]  12 Cl 3.82-3.83
2 Cs 0.3333 0.6667 0.3462 [2 per cell]  12 Cl 3.78-3.95
3 Sn 0.3333 0.6667 0.8267 [2 per cell]  6 Cl 2.51-2.75
4 Cl 0.0000 0.5000 0.0000 [3 per cell]  2 Sn 2.75
5 Cl 0.1756 0.3513 0.6793 [6 per cell]  1 Sn 2.51

Final energy: -3.41 eV/atom
Mass density: 3.3 Mg/m³
Magnetization: 0.00 Bohr magnetons per cell



No. 6
A relaxed structure of CaOF2, computed with PBE-GGA.

Lattice parameters (Å, degrees): 3.9529 3.9529 10.5434 90.00 90.00 120.00
Closest atoms and distances in Å follow each position.
Space group R-3m (No. 166, hexagonal axes)
Asymmetric unit:
1 Ca 0.0000 0.0000 0.0000 [3 per cell]  8 F 2.48-2.54
2 O 0.0000 0.0000 0.5000 [3 per cell]  6 F 2.41
3 F 0.0000 0.0000 0.2409 [6 per cell]  3 O 2.41, 4 Ca 2.48-2.54

Mass density: 3.3 Mg/m³
Excess energy over the best structure of this formula in the dataset: 0.25 eV/f.u.
Magnetization: 6.00 Bohr magnetons per cell



No. 7
A relaxed structure of LaCu5Pd7, computed with PBE-GGA.

Lattice parameters (Å, degrees): 5.0605 8.8278 8.9820 90.00 90.00 90.00
Closest atoms and distances in Å follow each position.
Space group Imm2 (No. 44)
Asymmetric unit:
1 La 0.0000 0.0000 0.0000 [2 per cell]  10 Pd 3.05-3.23, 10 Cu 3.31-3.40
2 Cu 0.0000 0.5000 0.2623 [2 per cell]  4 Cu 2.52, 6 Pd 2.72-2.78
3 Cu 0.2493 0.2537 0.2462 [8 per cell]  3 Cu 2.52-2.54, 7 Pd 2.57-2.74
4 Pd 0.0000 0.0000 0.3467 [2 per cell]  4 Cu 2.72, 5 Pd 2.72-2.88
5 Pd 0.0000 0.0000 0.6499 [2 per cell]  6 Cu 2.66-2.72, 3 Pd 2.72-2.93
6 Pd 0.0000 0.2905 0.4930 [4 per cell]  5 Cu 2.57-2.78, 3 Pd 2.77-2.80
7 Pd 0.0000 0.3456 0.9984 [4 per cell]  5 Cu 2.68-2.74, 4 Pd 2.73-2.83
8 Pd 0.0000 0.5000 0.7228 [2 per cell]  4 Cu 2.58, 6 Pd 2.76-2.83

Energy relative to the elements: -331 meV per atom
Mass density: 9.9 Mg/m³
Magnetization: 0.00 Bohr magnetons per cell



No. 8
A relaxed structure of Co2RuPt2, computed with PBE-GGA.

Lattice parameters (Å, degrees): 6.2815 6.2815 3.5444 90.00 90.00 90.00
Closest atoms and distances in Å follow each position.
Space group P4/mbm (No. 127)
Asymmetric unit:
1 Co 0.1302 0.3698 0.0000 [4 per cell]  1 Co 2.31, 2 Ru 2.46, 2 Pt 2.52
2 Ru 0.0000 0.0000 0.0000 [2 per cell]  4 Co 2.46
3 Pt 0.1683 0.6683 0.5000 [4 per cell]  6 Co 2.52-2.59

Energy relative to the elements: 260 meV per atom
Mass density: 14.5 Mg/m³
Magnetization: 9.11 Bohr magnetons per cell